No. 1
Computed, not measured: an optimized crystal structure of K2DyNpS4 at the PBE-GGA level of DFT.

POSCAR file:
```
K2DyNpS4
1.0
4.0805 0.0000 0.0000
0.0000 7.0754 0.1159
0.0000 -2.4889 7.3203
K S Np Dy
2 4 1 1
Direct
0.0000 0.5000 0.5000 K
0.5000 0.0000 0.5000 K
0.5000 0.7647 0.7992 S
0.0000 0.7310 0.2025 S
0.0000 0.2690 0.7975 S
0.5000 0.2353 0.2008 S
0.0000 0.0000 0.0000 Np
0.5000 0.5000 0.0000 Dy
```

E_tot, eV per atom: -6.1590
V, Å³ per cell: 212.5
Crystal system: monoclinic

=====

No. 2
Computed, not measured: an optimized crystal structure of K3DyNp3S8 at the PBE-GGA level of DFT.

POSCAR file:
```
K3DyNp3S8
1.0
-9.6303 0.9264 -1.5619
3.9076 -3.0638 4.8327
-0.0507 6.4689 4.1495
K S Dy Np
3 8 1 3
Direct
0.0000 0.5000 0.0000 K
0.0000 0.0000 0.0000 K
0.5000 0.5000 0.0000 K
0.7506 0.5012 0.3009 S
0.2494 0.4988 0.6991 S
0.7506 0.0003 0.3009 S
0.2497 0.4995 0.3009 S
0.7503 0.5005 0.6991 S
0.7503 0.9997 0.6991 S
0.2494 0.9997 0.6991 S
0.2497 0.0003 0.3009 S
0.0000 0.0000 0.5000 Dy
0.5000 0.0000 0.5000 Np
0.0000 0.5000 0.5000 Np
0.5000 0.5000 0.5000 Np
```

E_tot, eV per atom: -6.6100
V, Å³ per cell: 369.0
Crystal system: tetragonal

=====

No. 3
Computed, not measured: an optimized crystal structure of K4DyNp3Se8 at the PBE-GGA level of DFT.

POSCAR file:
```
K4DyNp3Se8
1.0
8.5207 0.0000 0.0000
0.0000 9.0968 0.4004
-4.2604 -4.2559 6.0280
Dy Se K Np
1 8 4 3
Direct
0.0000 0.5000 0.0000 Dy
0.7662 0.2940 0.0279 Se
0.2616 0.2940 0.0279 Se
0.7662 0.2940 0.5324 Se
0.7384 0.7060 0.9721 Se
0.2338 0.7060 0.4676 Se
0.2653 0.2960 0.5306 Se
0.7347 0.7040 0.4694 Se
0.2338 0.7060 0.9721 Se
0.5000 0.0000 0.5000 K
0.5000 0.0000 0.0000 K
0.0000 0.0000 0.5000 K
0.0000 0.0000 0.0000 K
0.0000 0.5000 0.5000 Np
0.5000 0.5000 0.5000 Np
0.5000 0.5000 0.0000 Np
```

E_tot, eV per atom: -6.1109
V, Å³ per cell: 481.8
Crystal system: trigonal

=====

No. 4
Computed, not measured: an optimized crystal structure of K2Dy2NpSe6 at the PBE-GGA level of DFT.

POSCAR file:
```
K2Dy2NpSe6
1.0
7.2143 -0.0210 0.0639
-3.5840 6.2611 0.0639
-1.2956 -2.2271 7.8042
K Se Dy Np
2 6 2 1
Direct
0.1684 0.8316 0.0000 K
0.8316 0.1684 0.0000 K
0.3967 0.0670 0.7004 Se
0.7394 0.7394 0.6999 Se
0.2606 0.2606 0.3001 Se
0.6033 0.9330 0.2996 Se
0.9330 0.6033 0.2996 Se
0.0670 0.3967 0.7004 Se
0.6666 0.3334 0.5000 Dy
0.3334 0.6666 0.5000 Dy
0.0000 0.0000 0.5000 Np
```

E_tot, eV per atom: -5.6887
V, Å³ per cell: 354.0
Crystal system: monoclinic

=====

No. 5
Computed, not measured: an optimized crystal structure of K3DyNp2Se6 at the PBE-GGA level of DFT.

POSCAR file:
```
K3DyNp2Se6
1.0
7.3665 -0.0012 0.0003
-3.6825 6.3800 0.0003
-1.2283 -2.1267 7.6791
K Se Np Dy
3 6 2 1
Direct
0.5000 0.5000 0.5000 K
0.1665 0.8335 0.5000 K
0.8335 0.1665 0.5000 K
0.7376 0.7376 0.2058 Se
0.6003 0.9313 0.7940 Se
0.3997 0.0687 0.2060 Se
0.0687 0.3997 0.2060 Se
0.2624 0.2624 0.7942 Se
0.9313 0.6003 0.7940 Se
0.3333 0.6667 0.0000 Np
0.6667 0.3333 0.0000 Np
0.0000 0.0000 0.0000 Dy
```

E_tot, eV per atom: -5.9745
V, Å³ per cell: 360.9
Crystal system: monoclinic

=====

No. 6
Computed, not measured: an optimized crystal structure of K2DyNpSe4 at the PBE-GGA level of DFT.

POSCAR file:
```
K2DyNpSe4
1.0
-1.4363 3.8327 1.1306
-2.2019 -2.7374 6.4823
7.5765 2.5840 0.8656
Se Dy K Np
4 1 2 1
Direct
0.0000 0.7312 0.2059 Se
0.0000 0.2688 0.7941 Se
0.5000 0.7619 0.7947 Se
0.5000 0.2381 0.2053 Se
0.5000 0.5000 0.0000 Dy
0.0000 0.5000 0.5000 K
0.5000 0.0000 0.5000 K
0.0000 0.0000 0.0000 Np
```

E_tot, eV per atom: -5.7102
V, Å³ per cell: 240.0
Crystal system: monoclinic

=====

No. 7
Computed, not measured: an optimized crystal structure of K4Dy3NpSe8 at the PBE-GGA level of DFT.

POSCAR file:
```
K4Dy3NpSe8
1.0
-5.7767 5.1324 -3.4657
-5.1966 -0.8305 7.4319
7.9651 2.6818 1.0427
Se Dy K Np
8 3 4 1
Direct
0.7629 0.2944 0.5258 Se
0.7629 0.2944 0.0314 Se
0.2685 0.2944 0.0314 Se
0.7351 0.7052 0.4701 Se
0.2649 0.2948 0.5299 Se
0.2371 0.7056 0.9686 Se
0.7315 0.7056 0.9686 Se
0.2371 0.7056 0.4742 Se
0.5000 0.5000 0.5000 Dy
0.5000 0.5000 0.0000 Dy
0.0000 0.5000 0.5000 Dy
0.0000 0.0000 0.5000 K
0.5000 0.0000 0.0000 K
0.5000 0.0000 0.5000 K
0.0000 0.0000 0.0000 K
0.0000 0.5000 0.0000 Np
```

E_tot, eV per atom: -5.3164
V, Å³ per cell: 477.1
Crystal system: trigonal

=====

No. 8
Computed, not measured: an optimized crystal structure of K3Dy3NpTe8 at the PBE-GGA level of DFT.

POSCAR file:
```
K3Dy3NpTe8
1.0
-5.6207 -5.2947 -4.4292
8.3824 0.9595 -2.8384
-1.3623 -5.3525 8.1271
Te K Dy Np
8 3 3 1
Direct
0.2349 0.4699 0.7056 Te
0.7651 0.5301 0.2944 Te
0.2349 0.9707 0.7056 Te
0.2639 0.5278 0.2917 Te
0.7651 0.0293 0.2944 Te
0.7361 0.4722 0.7083 Te
0.7358 0.9707 0.7056 Te
0.2642 0.0293 0.2944 Te
0.5000 0.5000 0.0000 K
0.0000 0.0000 0.0000 K
0.0000 0.5000 0.0000 K
0.5000 0.5000 0.5000 Dy
0.0000 0.5000 0.5000 Dy
0.5000 0.0000 0.5000 Dy
0.0000 0.0000 0.5000 Np
```

E_tot, eV per atom: -4.9077
V, Å³ per cell: 574.7
Crystal system: trigonal

=====

No. 9
Computed, not measured: an optimized crystal structure of K3DyNp2Te6 at the PBE-GGA level of DFT.

POSCAR file:
```
K3DyNp2Te6
1.0
7.8701 -0.0013 0.0002
-3.9343 6.8161 0.0002
-1.3123 -2.2723 8.2247
Te Np K Dy
6 2 3 1
Direct
0.2602 0.2602 0.7903 Te
0.7398 0.7398 0.2097 Te
0.5999 0.9301 0.7902 Te
0.0699 0.4001 0.2098 Te
0.9301 0.5999 0.7902 Te
0.4001 0.0699 0.2098 Te
0.3333 0.6667 0.0000 Np
0.6667 0.3333 0.0000 Np
0.1672 0.8328 0.5000 K
0.5000 0.5000 0.5000 K
0.8328 0.1672 0.5000 K
0.0000 0.0000 0.0000 Dy
```

E_tot, eV per atom: -5.4392
V, Å³ per cell: 441.2
Crystal system: monoclinic

=====

No. 10
Computed, not measured: an optimized crystal structure of K3Dy5O12 at the PBE-GGA level of DFT.

POSCAR file:
```
K3Dy5O12
1.0
-0.4426 -2.2203 -12.3402
11.8607 -0.9039 3.9891
-7.0904 -8.4191 6.0210
K O Dy
12 48 20
Direct
0.3750 0.7500 0.6250 K
0.3750 0.6250 0.2500 K
0.2500 0.6250 0.8750 K
0.8750 0.7500 0.1250 K
0.8750 0.1250 0.2500 K
0.1250 0.2500 0.8750 K
0.6250 0.2500 0.3750 K
0.7500 0.8750 0.6250 K
0.6250 0.3750 0.7500 K
0.2500 0.1250 0.3750 K
0.7500 0.3750 0.1250 K
0.1250 0.8750 0.7500 K
0.6060 0.0139 0.1942 O
0.4861 0.8058 0.8940 O
0.6942 0.1060 0.0139 O
0.4118 0.1060 0.5921 O
0.5921 0.6060 0.4118 O
0.0921 0.1803 0.4861 O
0.0921 0.9118 0.1060 O
0.1060 0.6942 0.5139 O
0.0882 0.1803 0.1942 O
0.0139 0.4079 0.8197 O
0.9861 0.3940 0.3058 O
0.1942 0.5139 0.6060 O
0.4079 0.0139 0.3197 O
0.1060 0.4118 0.0921 O
0.0882 0.9079 0.3940 O
0.3058 0.8940 0.9861 O
0.3940 0.4079 0.0882 O
0.1803 0.0882 0.6942 O
0.8940 0.5882 0.9079 O
0.1942 0.6803 0.0882 O
0.3058 0.4118 0.8197 O
0.6803 0.4861 0.5921 O
0.9079 0.0882 0.8940 O
0.9118 0.8197 0.8058 O
0.5139 0.3197 0.9079 O
0.8058 0.3197 0.9118 O
0.6803 0.1942 0.5882 O
0.6942 0.5882 0.1803 O
0.3197 0.5139 0.4079 O
0.9861 0.5921 0.1803 O
0.8197 0.9118 0.3058 O
0.9118 0.0921 0.6060 O
0.4079 0.3940 0.5882 O
0.5882 0.8940 0.4079 O
0.6060 0.5921 0.9118 O
0.4118 0.3058 0.3197 O
0.5139 0.1942 0.1060 O
0.8940 0.3058 0.4861 O
0.3940 0.9861 0.8058 O
0.4861 0.6803 0.0921 O
0.5921 0.9861 0.6803 O
0.9079 0.8197 0.5139 O
0.8058 0.4861 0.3940 O
0.0139 0.6060 0.6942 O
0.8197 0.9079 0.0139 O
0.3197 0.8058 0.4118 O
0.1803 0.0921 0.9861 O
0.5882 0.6942 0.6803 O
0.0000 0.5000 0.0000 Dy
0.5000 0.0000 0.5000 Dy
0.8750 0.6250 0.7500 Dy
0.1250 0.7500 0.3750 Dy
0.1250 0.3750 0.2500 Dy
0.5000 0.5000 0.0000 Dy
0.3750 0.2500 0.1250 Dy
0.6250 0.7500 0.8750 Dy
0.5000 0.5000 0.5000 Dy
0.2500 0.3750 0.6250 Dy
0.0000 0.0000 0.5000 Dy
0.6250 0.8750 0.2500 Dy
0.0000 0.5000 0.5000 Dy
0.3750 0.1250 0.7500 Dy
0.0000 0.0000 0.0000 Dy
0.2500 0.8750 0.1250 Dy
0.8750 0.2500 0.6250 Dy
0.5000 0.0000 0.0000 Dy
0.7500 0.1250 0.8750 Dy
0.7500 0.6250 0.3750 Dy
```

E_tot, eV per atom: -6.4381
V, Å³ per cell: 1520.2
Crystal system: cubic

=====

No. 11
Computed, not measured: an optimized crystal structure of KDy2O at the PBE-GGA level of DFT.

POSCAR file:
```
KDy2O
1.0
3.5642 0.0000 0.0000
1.7821 3.0867 0.0000
1.7821 1.0289 10.0324
O Dy K
1 2 1
Direct
0.5000 0.5000 0.5000 O
0.8766 0.8766 0.3703 Dy
0.1234 0.1234 0.6297 Dy
0.0000 0.0000 0.0000 K
```

E_tot, eV per atom: -4.8857
V, Å³ per cell: 110.4
Crystal system: trigonal

=====

No. 12
Computed, not measured: an optimized crystal structure of K14Dy2O9 at the PBE-GGA level of DFT.

POSCAR file:
```
K14Dy2O9
1.0
-5.1148 0.6739 -5.9284
7.0529 -3.2357 -1.2439
-4.1138 -9.8986 2.4240
Dy K O
2 14 9
Direct
0.6667 0.3333 0.7273 Dy
0.3333 0.6667 0.2727 Dy
0.2870 0.9018 0.5920 K
0.0000 0.0000 0.7524 K
0.6816 0.6329 0.0904 K
0.3671 0.0487 0.0904 K
0.3852 0.2870 0.4080 K
0.0487 0.6816 0.9096 K
0.0982 0.3852 0.5920 K
0.9018 0.6148 0.4080 K
0.6329 0.9513 0.9096 K
0.0000 0.0000 0.2476 K
0.3184 0.3671 0.9096 K
0.6148 0.7130 0.5920 K
0.9513 0.3184 0.0904 K
0.7130 0.0982 0.4080 K
0.8917 0.6212 0.6591 O
0.0000 0.0000 0.0000 O
0.6667 0.3333 0.9257 O
0.3333 0.6667 0.0743 O
0.2704 0.8917 0.3409 O
0.1083 0.3788 0.3409 O
0.7296 0.1083 0.6591 O
0.3788 0.2704 0.6591 O
0.6212 0.7296 0.3409 O
```

E_tot, eV per atom: -4.2018
V, Å³ per cell: 587.8
Crystal system: trigonal

=====

No. 13
Computed, not measured: an optimized crystal structure of K5DyO4 at the PBE-GGA level of DFT.

POSCAR file:
```
K5DyO4
1.0
-3.0580 -1.6761 1.2772
4.1260 -5.1946 3.0619
0.5834 6.8576 4.9970
O K Dy
4 5 1
Direct
0.3520 0.8878 0.7040 O
0.6480 0.1122 0.2960 O
0.9974 0.2117 0.9948 O
0.0026 0.7883 0.0052 O
0.1664 0.8873 0.3329 K
0.5000 0.5000 0.0000 K
0.8336 0.1127 0.6671 K
0.1571 0.3441 0.3142 K
0.8429 0.6559 0.6858 K
0.5000 0.0000 0.0000 Dy
```

E_tot, eV per atom: -4.6093
V, Å³ per cell: 215.2
Crystal system: monoclinic

=====

No. 14
Computed, not measured: an optimized crystal structure of K2Dy2OsO6 at the PBE-GGA level of DFT.

POSCAR file:
```
K2Dy2OsO6
1.0
-5.3223 1.8841 -1.1791
1.5195 -5.3653 -1.4736
-0.8510 -1.0647 6.4384
O Os Dy K
6 1 2 2
Direct
0.2539 0.2539 0.3213 O
0.0461 0.3571 0.6707 O
0.3571 0.0461 0.6707 O
0.7461 0.7461 0.6787 O
0.6429 0.9539 0.3293 O
0.9539 0.6429 0.3293 O
0.0000 0.0000 0.5000 Os
0.6631 0.3369 0.5000 Dy
0.3369 0.6631 0.5000 Dy
0.8406 0.1594 0.0000 K
0.1594 0.8406 0.0000 K
```

E_tot, eV per atom: -6.9509
V, Å³ per cell: 183.4
Crystal system: monoclinic

=====

No. 15
Computed, not measured: an optimized crystal structure of K3DyOs2O9 at the PBE-GGA level of DFT.

POSCAR file:
```
K3DyOs2O9
1.0
-3.0383 -2.6284 4.0957
2.0303 -3.0088 -4.4429
5.9866 -1.2929 3.6113
K O Os Dy
3 9 2 1
Direct
0.3333 0.6667 0.6638 K
0.0000 0.0000 0.0000 K
0.6667 0.3333 0.3362 K
0.5000 0.0000 0.0000 O
0.1785 0.8215 0.3091 O
0.8215 0.6430 0.6909 O
0.0000 0.5000 0.0000 O
0.5000 0.5000 0.0000 O
0.6430 0.8215 0.3091 O
0.3570 0.1785 0.6909 O
0.8215 0.1785 0.6909 O
0.1785 0.3570 0.3091 O
0.6667 0.3333 0.8465 Os
0.3333 0.6667 0.1535 Os
0.0000 0.0000 0.5000 Dy
```

E_tot, eV per atom: -6.7282
V, Å³ per cell: 202.7
Crystal system: trigonal

=====

No. 16
Computed, not measured: an optimized crystal structure of K2DyOs3O12 at the PBE-GGA level of DFT.

POSCAR file:
```
K2DyOs3O12
1.0
7.4820 0.1127 0.0800
3.7930 6.4503 0.0800
3.7930 2.2078 6.0612
Os O K Dy
3 12 2 1
Direct
0.5000 0.0000 0.0000 Os
0.0000 0.5000 0.0000 Os
0.0000 0.0000 0.5000 Os
0.0837 0.6353 0.0837 O
0.9163 0.9163 0.3647 O
0.0837 0.0837 0.6353 O
0.9235 0.3013 0.3013 O
0.3013 0.3013 0.9235 O
0.9163 0.3647 0.9163 O
0.3013 0.9235 0.3013 O
0.6353 0.0837 0.0837 O
0.6987 0.6987 0.0765 O
0.6987 0.0765 0.6987 O
0.3647 0.9163 0.9163 O
0.0765 0.6987 0.6987 O
0.3662 0.3662 0.3662 K
0.6338 0.6338 0.6338 K
0.0000 0.0000 0.0000 Dy
```

E_tot, eV per atom: -7.0360
V, Å³ per cell: 287.4
Crystal system: trigonal

=====

No. 17
Computed, not measured: an optimized crystal structure of K3Dy3OsO8 at the PBE-GGA level of DFT.

POSCAR file:
```
K3Dy3OsO8
1.0
-2.4062 -4.7448 -4.1924
6.1429 2.6530 -1.0568
-0.7470 -4.6514 5.6934
O Dy K Os
8 3 3 1
Direct
0.7280 0.4561 0.6841 O
0.2114 0.4228 0.6732 O
0.2720 0.5439 0.3159 O
0.7508 0.9619 0.6731 O
0.2111 0.9620 0.6730 O
0.2492 0.0381 0.3269 O
0.7889 0.0380 0.3270 O
0.7886 0.5772 0.3268 O
0.5000 0.5000 0.5000 Dy
0.5000 0.0000 0.5000 Dy
0.0000 0.5000 0.5000 Dy
0.0000 0.0000 0.0000 K
0.5000 0.5000 0.0000 K
0.0000 0.5000 0.0000 K
0.0000 0.0000 0.5000 Os
```

E_tot, eV per atom: -6.8876
V, Å³ per cell: 249.2
Crystal system: trigonal